# 1
## CaSbTe2Mo (GGA-PBE)

Data for a relaxed structure of CaSbTe2Mo.

Cell lengths 5.506, 5.506, 5.178 Å; angles 90.00, 90.00, 90.00 degrees
Site moments in Bohr magnetons follow the coordinates.
Sites, in units of the cell vectors:
Te1 0.000 0.500 0.000  0.03
Ca1 0.500 0.500 0.500  0.03
Sb1 0.000 0.000 0.500  -0.06
Mo1 0.000 0.000 0.000  1.27
Te2 0.500 0.000 0.000  0.03

Computed properties:
The space group is P4/mmm, No. 123. The formation energy from raw total energies is -0.0005 eV per atom. The calculation puts the calculated total energy at -4.648 eV/atom. The value obtained for the density of states at the Fermi level is 4.72 states/eV per cell.



# 2
## Ca2SbMoW (GGA-PBE)

Data for a relaxed structure of Ca2SbMoW.

Cell lengths 5.691, 5.025, 5.691 Å; angles 90.00, 90.00, 90.00 degrees
Site moments in Bohr magnetons follow the coordinates.
Sites, in units of the cell vectors:
Sb1 0.000 0.000 0.000  0.00
Ca1 0.500 0.000 0.000  0.04
W1 0.500 0.500 0.500  2.98
Mo1 0.000 0.500 0.000  0.47
Ca2 0.000 0.000 0.500  0.03

Computed properties:
The space group is P4/mmm, No. 123. The formation energy from raw total energies is 1.5919 eV per atom. The calculation puts the calculated total energy at -4.790 eV/atom. The value obtained for the density of states at the Fermi level is 5.42 states/eV per cell.



Look up the calculated total energy of the second one.
-4.790 eV/atom



What did the second record say?
## Ca2SbMoW (GGA-PBE)

Data for a relaxed structure of Ca2SbMoW.

Cell lengths 5.691, 5.025, 5.691 Å; angles 90.00, 90.00, 90.00 degrees
Site moments in Bohr magnetons follow the coordinates.
Sites, in units of the cell vectors:
Sb1 0.000 0.000 0.000  0.00
Ca1 0.500 0.000 0.000  0.04
W1 0.500 0.500 0.500  2.98
Mo1 0.000 0.500 0.000  0.47
Ca2 0.000 0.000 0.500  0.03

Computed properties:
The space group is P4/mmm, No. 123. The formation energy from raw total energies is 1.5919 eV per atom. The calculation puts the calculated total energy at -4.790 eV/atom. The value obtained for the density of states at the Fermi level is 5.42 states/eV per cell.



Among the records above, which one has the lowest calculated total energy?
Ca2SbMoW